No. 1
Dy6Tm2Mg, relaxed, DFT PBE-GGA; uncorrected energy = -4.180 eV per atom; ΔH_f (0 K) = 0.06 eV/atom
1.0
-3.3712 0.8251 0.6379
0.8828 -1.6088 -3.0142
-3.4958 -22.9685 11.2352
Dy Tm Mg
6 2 1
direct
0.0000 0.0000 0.5669
0.0000 0.0000 0.2164
0.0000 0.0000 0.7836
0.3333 0.6667 0.1061
0.3333 0.6667 0.8939
0.0000 0.0000 0.4331
0.3333 0.6667 0.3263
0.3333 0.6667 0.6737
0.0000 0.0000 0.0000

=====

No. 2
MgBe2VAg, relaxed, DFT PBE-GGA; uncorrected energy = -2.715 eV per atom; ΔH_f (0 K) = 1.49 eV/atom
1.0
4.3079 0.0000 0.0000
0.0000 4.5140 0.0000
0.0000 0.0000 4.3079
Mg Be Ag V
1 2 1 1
direct
0.0000 0.0000 0.0000
0.0000 0.0000 0.5000
0.5000 0.0000 0.0000
0.0000 0.5000 0.0000
0.5000 0.5000 0.5000

=====

No. 3
Rb4NaU3Se8, relaxed, DFT PBE-GGA; uncorrected energy = -5.435 eV per atom; formation energy without anion corrections = -20.0 eV per formula unit
1.0
8.6287 0.0000 0.0000
0.0000 9.3713 0.5105
-4.3143 -4.3144 6.1078
Rb Se U Na
4 8 3 1
direct
0.5000 0.0000 0.0000
0.0000 0.0000 0.5000
0.5000 0.0000 0.5000
0.0000 0.0000 0.0000
0.7321 0.6964 0.4642
0.2679 0.3036 0.5358
0.2400 0.6932 0.9538
0.7591 0.3056 0.5182
0.2409 0.6944 0.4818
0.7600 0.3068 0.0462
0.7137 0.6932 0.9538
0.2863 0.3068 0.0462
0.0000 0.5000 0.5000
0.5000 0.5000 0.0000
0.5000 0.5000 0.5000
0.0000 0.5000 0.0000

=====

No. 4
GeHI3, relaxed, DFT PBE-GGA; uncorrected energy = -2.682 eV per atom
1.0
4.2769 0.2111 -0.4557
2.4946 9.2385 0.9512
-1.0454 5.5389 11.2677
Ge I H
2 6 2
direct
0.5419 0.3608 0.3902
0.1462 0.4001 0.6681
0.8775 0.6159 0.3942
0.8103 0.1450 0.6643
0.2948 0.1563 0.0025
0.1544 0.1707 0.3619
0.3936 0.6043 0.0565
0.5341 0.5895 0.6970
0.6773 0.9886 0.0966
0.0111 0.7724 0.9642

=====

No. 5
TaCr2Au, relaxed, DFT PBE-GGA; uncorrected energy = -8.209 eV per atom; ΔH_f (0 K) = 0.39 eV/atom
1.0
4.6471 -0.0918 0.0964
3.7698 2.7189 0.0964
0.8235 0.2570 4.6827
Ta Cr Au
1 2 1
direct
0.7500 0.7500 0.7500
0.9968 0.9968 0.9958
0.5032 0.5032 0.5042
0.2500 0.2500 0.2500

=====

No. 6
Pm2ErP3, relaxed, DFT PBE-GGA; uncorrected energy = -6.619 eV per atom; ΔH_f (0 K) = -1.57 eV/atom
1.0
6.9678 -0.0234 -1.1646
-3.7558 5.8690 -1.1646
-0.0126 -0.0229 7.0629
Pm Er P
4 2 6
direct
0.3333 0.6667 0.0000
0.8333 0.1667 0.5000
0.1676 0.8324 0.5000
0.4990 0.5010 0.5000
0.0004 0.9996 0.0000
0.6663 0.3337 0.0000
0.4146 0.0865 0.2437
0.0756 0.4089 0.2427
0.9135 0.5854 0.7563
0.2521 0.2468 0.7563
0.7532 0.7479 0.2437
0.5911 0.9244 0.7573